# La3ScBi4

La3ScBi4 after structural relaxation (PBE, Alexandria). Values from VASP.

## Properties
ΔH_f (0 K) (eV per atom): -0.9231
Spin magnetization (μB per cell): 0.00

Structure (Quantum ESPRESSO input):
```
&SYSTEM
  ibrav = 0, nat = 16, ntyp = 3
/
ATOMIC_SPECIES
Bi 208.98 Bi.upf
La 138.91 La.upf
Sc 44.96 Sc.upf
ATOMIC_POSITIONS angstrom
Bi -1.2627 0.1707 8.3143
La -0.0812 3.1412 7.7160
La 1.7835 -0.9457 8.7077
La -2.8668 3.5753 4.0109
Bi -2.2388 -3.4736 5.5273
La 1.3123 5.4901 3.9785
Sc 4.0882 5.0575 7.6709
Bi -0.6647 -1.0815 1.7029
Bi -0.4185 3.7110 11.0157
Bi 0.1794 2.4589 4.4042
Bi 3.0933 2.1293 8.1902
Bi 1.1555 6.1032 7.1913
Bi -4.1765 0.5002 4.5284
La -1.0020 -0.5117 5.0026
Sc 0.4391 1.8298 1.3284
La 3.2151 1.3972 5.0208
CELL_PARAMETERS angstrom
-0.9942 7.7476 1.6550
-5.6105 -4.2577 3.7193
5.5215 -0.8604 7.3443
```